(1)
Compound: MnTl2InBr6
Source: Alexandria via LeMat-Bulk
Functional: PBE
Structure: optimized geometry

Calculated values
* E_tot: -3.44 eV/atom
* space group: R-3

a = 7.815 Å, b = 7.815 Å, c = 7.709 Å
α = 59.52°, β = 59.52°, γ = 59.99°
Fractional coordinates of all 10 atoms:
Mn 0.316 0.316 0.052
Tl 0.543 0.542 0.373
Tl 0.090 0.090 0.730
In 0.816 0.816 0.552
Br 0.546 0.147 0.296
Br 0.146 0.012 0.297
Br 0.012 0.546 0.296
Br 0.486 0.621 0.807
Br 0.620 0.087 0.807
Br 0.087 0.485 0.807

=====

(2)
Compound: AlPPb2
Source: Alexandria via LeMat-Bulk
Functional: PBE
Structure: optimized geometry

Calculated values
* formation energy from the elements: 6.1 kJ/mol of atoms
* space group: Pmmn
* relative energy among the computed polymorphs: 6.6 kJ/mol of atoms

a = 6.130 Å, b = 3.720 Å, c = 19.060 Å
α = 90.00°, β = 90.00°, γ = 90.00°
Fractional coordinates of all 16 atoms:
Pb 0.498 0.250 0.836
Pb 0.502 0.750 0.164
Pb 0.502 0.750 0.336
Pb 0.498 0.250 0.664
Pb 0.717 0.250 0.027
Pb 0.283 0.750 0.973
Pb 0.283 0.750 0.527
Pb 0.717 0.250 0.473
P 0.930 0.250 0.887
P 0.070 0.750 0.113
P 0.070 0.750 0.387
P 0.930 0.250 0.613
Al 0.980 0.250 0.182
Al 0.020 0.750 0.818
Al 0.020 0.750 0.682
Al 0.980 0.250 0.318

=====

(3)
Compound: Ce2PmZrN4
Source: Alexandria via LeMat-Bulk
Functional: PBE
Structure: optimized geometry

Calculated values
* E_tot: -8.85 eV/atom
* space group: P2/m

a = 3.477 Å, b = 6.063 Å, c = 6.068 Å
α = 109.21°, β = 90.00°, γ = 90.00°
Fractional coordinates of all 8 atoms:
Ce 0.500 0.000 0.500
Ce 0.000 0.500 0.500
Pm 0.500 0.500 0.000
Zr 0.000 0.000 0.000
N 0.500 0.229 0.235
N 0.500 0.771 0.765
N 0.000 0.231 0.755
N 0.000 0.769 0.245